No. 1
HfNb2Fe2 after structural relaxation. Source: Alexandria via LeMat-Bulk, functional PBE-GGA.

Output
* formation energy: 0.1696 eV/atom
* E_tot: -92.34 eV for the cell shown
* crystal system: tetragonal
* N(E_F): 1.12 states/eV per atom
* ρ: 9.94 Mg/m³

Cell: 7.471 7.471 2.850 Å, 90.00 90.00 90.00°
Fractional coordinates of all 10 atoms:
Hf  0.000  0.000  0.000
Hf  0.500  0.500  0.000
Nb  0.148  0.352  0.000
Nb  0.352  0.852  0.000
Nb  0.648  0.148  0.000
Nb  0.852  0.648  0.000
Fe  0.148  0.648  0.500
Fe  0.352  0.148  0.500
Fe  0.648  0.852  0.500
Fe  0.852  0.352  0.500

***

No. 2
PmNd4Tm5 after structural relaxation. Source: Alexandria via LeMat-Bulk, functional PBE-GGA.

Output
* formation energy: 0.1986 eV/atom
* E_tot: -44.19 eV for the cell shown
* crystal system: triclinic
* N(E_F): 1.40 states/eV per atom
* ρ: 7.65 Mg/m³

Cell: 3.523 8.724 11.299 Å, 90.21 90.01 101.61°
Fractional coordinates of all 10 atoms:
Pm  0.000  0.000  0.000
Nd  0.157  0.317  0.250
Nd  0.467  0.934  0.252
Nd  0.533  0.066  0.748
Nd  0.843  0.683  0.750
Tm  0.000  0.000  0.500
Tm  0.326  0.651  0.050
Tm  0.328  0.655  0.455
Tm  0.672  0.345  0.545
Tm  0.674  0.349  0.950

***

No. 3
CsZrI3 after structural relaxation. Source: Alexandria via LeMat-Bulk, functional PBE-GGA.

Output
* formation energy (no corrections): -0.88 eV per atom
* E_tot: -18.45 eV for the cell shown
* crystal system: cubic
* N(E_F): 0.94 states/eV per atom
* ρ: 4.70 Mg/m³

Cell: 5.977 5.977 5.977 Å, 90.00 90.00 90.00°
Fractional coordinates of all 5 atoms:
Cs  0.000  0.000  0.000
Zr  0.500  0.500  0.500
I  0.000  0.500  0.500
I  0.500  0.000  0.500
I  0.500  0.500  0.000

***

No. 4
TaMo6 after structural relaxation. Source: Alexandria via LeMat-Bulk, functional PBE-GGA.

Output
* formation energy: -0.0951 eV/atom
* E_tot: -77.50 eV for the cell shown
* crystal system: trigonal
* N(E_F): 0.49 states/eV per atom
* ρ: 11.13 Mg/m³

Cell: 6.955 6.955 6.955 Å, 37.71 37.71 37.71°
Fractional coordinates of all 7 atoms:
Ta  0.000  0.000  0.000
Mo  0.144  0.144  0.144
Mo  0.284  0.284  0.284
Mo  0.428  0.428  0.428
Mo  0.572  0.572  0.572
Mo  0.716  0.716  0.716
Mo  0.856  0.856  0.856

***

No. 5
SeSN3 after structural relaxation. Source: Alexandria via LeMat-Bulk, functional PBE-GGA.

Output
* formation energy (no corrections): 2.10 eV per atom
* E_tot: -22.10 eV for the cell shown
* crystal system: cubic
* N(E_F): 0.33 states/eV per atom
* ρ: 5.52 Mg/m³

Cell: 3.583 3.583 3.583 Å, 90.00 90.00 90.00°
Fractional coordinates of all 5 atoms:
Se  0.000  0.000  0.000
S  0.500  0.500  0.500
N  0.000  0.500  0.500
N  0.500  0.000  0.500
N  0.500  0.500  0.000

***

No. 6
TbYPu2Se4 after structural relaxation. Source: Alexandria via LeMat-Bulk, functional PBE-GGA.

Output
* formation energy (no corrections): -1.68 eV per atom
* E_tot: -67.13 eV for the cell shown
* crystal system: monoclinic
* N(E_F): 2.25 states/eV per atom
* ρ: 8.85 Mg/m³

Cell: 7.098 4.101 7.183 Å, 90.00 109.27 90.00°
Fractional coordinates of all 8 atoms:
Tb  0.000  0.000  0.000
Y  0.500  0.500  0.000
Pu  0.000  0.500  0.500
Pu  0.500  0.000  0.500
Se  0.249  0.500  0.246
Se  0.252  0.000  0.754
Se  0.748  0.000  0.246
Se  0.751  0.500  0.754

***

No. 7
FeSn3S after structural relaxation. Source: Alexandria via LeMat-Bulk, functional PBE-GGA.

Output
* formation energy (no corrections): 0.81 eV per atom
* E_tot: -20.53 eV for the cell shown
* crystal system: cubic
* N(E_F): 1.22 states/eV per atom
* ρ: 5.36 Mg/m³

Cell: 5.164 5.164 5.164 Å, 90.00 90.00 90.00°
Fractional coordinates of all 5 atoms:
Fe  0.000  0.000  0.000
Sn  0.000  0.500  0.500
Sn  0.500  0.000  0.500
Sn  0.500  0.500  0.000
S  0.500  0.500  0.500

***

No. 8
CrTc2Br after structural relaxation. Source: Alexandria via LeMat-Bulk, functional PBE-GGA.

Output
* formation energy (no corrections): 0.64 eV per atom
* E_tot: -29.45 eV for the cell shown
* crystal system: monoclinic
* N(E_F): 0.52 states/eV per atom
* ρ: 8.65 Mg/m³

Cell: 5.075 5.075 4.399 Å, 94.99 94.99 33.92°
Fractional coordinates of all 4 atoms:
Cr  0.000  0.000  0.000
Tc  0.286  0.286  0.787
Tc  0.714  0.714  0.213
Br  0.500  0.500  0.500